Below is FeCu2Pb after structural relaxation, with properties calculated at the PBE level.

```
4
Lattice="4.333 -1.510 0.000 4.333 1.510 0.000 -0.767 0.000 4.982" Properties=species:S:1:pos:R:3 pbc="T T T"
Fe 0.000 0.000 0.000
Cu 1.654 0.000 4.018
Cu 6.245 0.000 0.964
Pb 3.950 0.000 2.491
```

Calculated values
* DFT total energy: -4.673 eV per atom
* crystal system: monoclinic
* formation energy: 1.67 eV per formula unit
* Fermi-level density of states: 2.7 states/eV/f.u.
* total moment: 2.87 μB per formula unit